[1]
Here is BaMo2Pb at its PBEsol-relaxed geometry from the Alexandria database. Energies are from SCAN.

Structure (POSCAR):
```
BaMo2Pb
1.0
3.332 0.000 0.000
0.000 3.332 0.000
0.000 0.000 8.417
Ba Mo Pb
1 2 1
direct
0.000 0.000 0.000 Ba
0.000 0.000 0.436 Mo
0.500 0.500 0.302 Mo
0.500 0.500 0.669 Pb
```

Calculated values
Energy of formation (eV per atom): 0.377
N(E_F) (states/eV per cell): 2.97
Total magnetization (μB per cell): 0.70


[2]
Here is Na2SrMo at its PBEsol-relaxed geometry from the Alexandria database. Energies are from SCAN.

Structure (POSCAR):
```
Na2SrMo
1.0
-2.287 2.287 12.255
2.287 -2.287 12.255
2.287 2.287 -12.255
Na Sr Mo
4 2 2
direct
0.095 0.625 0.970 Na
0.375 0.345 0.470 Na
0.655 0.125 0.030 Na
0.875 0.905 0.530 Na
0.250 0.750 0.500 Sr
0.500 0.500 0.000 Sr
0.000 0.000 0.000 Mo
0.750 0.250 0.500 Mo
```

Calculated values
Energy of formation (eV per atom): 0.967
N(E_F) (states/eV per cell): 4.60
Total magnetization (μB per cell): 8.55


[3]
Here is CaReO2 at its PBEsol-relaxed geometry from the Alexandria database. Energies are from SCAN.

Structure (POSCAR):
```
CaReO2
1.0
-2.225 2.225 5.812
2.225 -2.225 5.812
2.225 2.225 -5.812
Ca Re O
2 2 4
direct
0.000 0.000 0.000 Ca
0.750 0.250 0.500 Ca
0.250 0.750 0.500 Re
0.500 0.500 0.000 Re
0.213 0.625 0.088 O
0.375 0.463 0.588 O
0.537 0.125 0.912 O
0.875 0.787 0.412 O
```

Calculated values
N(E_F) (states/eV per cell): 4.03
Raw formation energy (eV per formula unit): -4.99
Total magnetization (μB per cell): 0.00


[4]
Here is BeHgPt4 at its PBEsol-relaxed geometry from the Alexandria database. Energies are from SCAN.

Structure (POSCAR):
```
BeHgPt4
1.0
0.000 3.686 3.686
3.686 0.000 3.686
3.686 3.686 0.000
Be Hg Pt
1 1 4
direct
0.000 0.000 0.000 Be
0.250 0.250 0.250 Hg
0.124 0.625 0.625 Pt
0.625 0.124 0.625 Pt
0.625 0.625 0.124 Pt
0.625 0.625 0.625 Pt
```

Calculated values
Energy of formation (eV per atom): 0.255
N(E_F) (states/eV per cell): 4.90
Total magnetization (μB per cell): 0.00


[5]
Here is BaCoRu2 at its PBEsol-relaxed geometry from the Alexandria database. Energies are from SCAN.

Structure (POSCAR):
```
BaCoRu2
1.0
2.902 0.000 0.000
0.000 3.157 0.000
0.000 0.000 7.643
Ba Co Ru
1 1 2
direct
0.000 0.000 0.000 Ba
0.000 0.000 0.500 Co
0.500 0.500 0.336 Ru
0.500 0.500 0.664 Ru
```

Calculated values
Offset from the most stable computed form (eV per formula unit): 0.57
Energy of formation (eV per atom): 0.781
N(E_F) (states/eV per cell): 4.31
Total magnetization (μB per cell): 3.94


[6]
Here is Rb2NiH12Se2O14 at its PBEsol-relaxed geometry from the Alexandria database. Energies are from SCAN.

Structure (POSCAR):
```
Rb2NiH12Se2O14
1.0
6.332 0.000 0.000
0.000 12.401 0.000
-2.331 0.000 8.842
Rb Ni H Se O
4 2 24 4 28
direct
0.163 0.157 0.364 Rb
0.163 0.343 0.864 Rb
0.837 0.657 0.136 Rb
0.837 0.843 0.636 Rb
0.500 0.000 0.000 Ni
0.500 0.500 0.500 Ni
0.165 0.553 0.598 H
0.165 0.947 0.098 H
0.177 0.639 0.471 H
0.177 0.861 0.971 H
0.187 0.088 0.798 H
0.187 0.412 0.298 H
0.413 0.126 0.760 H
0.413 0.374 0.260 H
0.422 0.591 0.229 H
0.422 0.909 0.729 H
0.495 0.684 0.355 H
0.495 0.816 0.855 H
0.505 0.184 0.145 H
0.505 0.316 0.645 H
0.578 0.091 0.271 H
0.578 0.409 0.771 H
0.587 0.626 0.740 H
0.587 0.874 0.240 H
0.813 0.588 0.702 H
0.813 0.912 0.202 H
0.823 0.139 0.029 H
0.823 0.361 0.529 H
0.835 0.053 0.902 H
0.835 0.447 0.402 H
0.228 0.637 0.904 Se
0.228 0.863 0.404 Se
0.772 0.137 0.596 Se
0.772 0.363 0.096 Se
0.073 0.742 0.920 O
0.073 0.758 0.420 O
0.090 0.562 0.759 O
0.090 0.938 0.259 O
0.208 0.561 0.501 O
0.208 0.939 0.001 O
0.274 0.561 0.059 O
0.274 0.939 0.559 O
0.340 0.112 0.844 O
0.340 0.388 0.344 O
0.463 0.680 0.871 O
0.463 0.820 0.371 O
0.475 0.107 0.170 O
0.475 0.393 0.670 O
0.525 0.607 0.330 O
0.525 0.893 0.830 O
0.537 0.180 0.629 O
0.537 0.320 0.129 O
0.660 0.612 0.656 O
0.660 0.888 0.156 O
0.726 0.061 0.441 O
0.726 0.439 0.941 O
0.792 0.061 0.999 O
0.792 0.439 0.499 O
0.910 0.062 0.741 O
0.910 0.438 0.241 O
0.927 0.242 0.580 O
0.927 0.258 0.080 O
```

Calculated values
VASP energy (eV for the cell shown): -525.99
N(E_F) (states/eV per cell): 0.00
Total magnetization (μB per cell): 3.78


[7]
Here is AlTl4Ag at its PBEsol-relaxed geometry from the Alexandria database. Energies are from SCAN.

Structure (POSCAR):
```
AlTl4Ag
1.0
0.000 4.341 4.341
4.341 0.000 4.341
4.341 4.341 0.000
Al Tl Ag
1 4 1
direct
0.000 0.000 0.000 Al
0.375 0.375 0.375 Tl
0.375 0.375 0.875 Tl
0.375 0.875 0.375 Tl
0.875 0.375 0.375 Tl
0.750 0.750 0.750 Ag
```

Calculated values
Energy of formation (eV per atom): 0.501
N(E_F) (states/eV per cell): 3.29
Total magnetization (μB per cell): 0.00


[8]
Here is Sb2TeRu at its PBEsol-relaxed geometry from the Alexandria database. Energies are from SCAN.

Structure (POSCAR):
```
Sb2TeRu
1.0
3.606 -1.612 0.000
3.606 1.612 0.000
-1.035 0.000 7.944
Sb Te Ru
2 1 1
direct
0.000 0.000 0.000 Sb
0.232 0.232 0.713 Sb
0.453 0.453 0.390 Te
0.729 0.729 0.203 Ru
```

Calculated values
N(E_F) (states/eV per cell): 2.59
Raw formation energy (eV per formula unit): 0.35
Total magnetization (μB per cell): 0.00


[9]
Here is SrPt3C at its PBEsol-relaxed geometry from the Alexandria database. Energies are from SCAN.

Structure (POSCAR):
```
SrPt3C
1.0
5.103 0.000 0.000
0.000 5.103 0.000
0.000 0.000 5.103
Sr Pt C
1 3 1
direct
0.000 0.000 0.000 Sr
0.000 0.000 0.500 Pt
0.000 0.500 0.000 Pt
0.500 0.000 0.000 Pt
0.500 0.500 0.500 C
```

Calculated values
Energy of formation (eV per atom): 3.215
N(E_F) (states/eV per cell): 3.20
Total magnetization (μB per cell): 1.99


[10]
Here is AsSe3 at its PBEsol-relaxed geometry from the Alexandria database. Energies are from SCAN.

Structure (POSCAR):
```
AsSe3
1.0
-1.922 2.170 5.168
1.922 -2.170 5.168
1.922 2.170 -5.168
As Se
1 3
direct
0.000 0.000 0.000 As
0.182 0.682 0.500 Se
0.500 0.500 0.000 Se
0.818 0.318 0.500 Se
```

Calculated values
Offset from the most stable computed form (eV per formula unit): 0.09
N(E_F) (states/eV per cell): 1.72
Raw formation energy (eV per formula unit): 1.48
Total magnetization (μB per cell): 0.00


[11]
Here is Mg2RuPt at its PBEsol-relaxed geometry from the Alexandria database. Energies are from SCAN.

Structure (POSCAR):
```
Mg2RuPt
1.0
-1.926 1.926 4.150
1.926 -1.926 4.150
1.926 1.926 -4.150
Mg Ru Pt
2 1 1
direct
0.000 0.000 0.000 Mg
0.750 0.250 0.500 Mg
0.250 0.750 0.500 Ru
0.500 0.500 0.000 Pt
```

Calculated values
Energy of formation (eV per atom): -0.283
N(E_F) (states/eV per cell): 2.84
Total magnetization (μB per cell): 0.00


[12]
Here is BMoBr2 at its PBEsol-relaxed geometry from the Alexandria database. Energies are from SCAN.

Structure (POSCAR):
```
BMoBr2
1.0
-2.652 2.652 5.485
2.652 -2.652 5.485
2.652 2.652 -5.485
B Mo Br
2 2 4
direct
0.000 0.000 0.000 B
0.750 0.250 0.500 B
0.250 0.750 0.500 Mo
0.500 0.500 0.000 Mo
0.086 0.625 0.961 Br
0.375 0.336 0.461 Br
0.664 0.125 0.039 Br
0.875 0.914 0.539 Br
```

Calculated values
N(E_F) (states/eV per cell): 5.35
Raw formation energy (eV per formula unit): 6.76
Total magnetization (μB per cell): 0.00